# 1
Computed, not measured: Nd5RuPb2 after structural relaxation at the PBE level of DFT.

Cell lengths 4.721, 8.291, 12.571 Å; angles 90.00, 90.00, 90.00 degrees
Element x y z (fractional)
Nd: 0.000 0.131 0.800
Nd: 0.000 0.000 0.500
Nd: 0.000 0.869 0.200
Nd: 0.000 0.631 0.700
Nd: 0.500 0.813 0.934
Nd: 0.000 0.500 0.000
Nd: 0.500 0.187 0.066
Nd: 0.500 0.687 0.434
Nd: 0.000 0.369 0.300
Nd: 0.500 0.313 0.566
Pb: 0.500 0.580 0.172
Pb: 0.500 0.420 0.828
Pb: 0.500 0.080 0.328
Pb: 0.500 0.920 0.672
Ru: 0.000 0.000 0.000
Ru: 0.000 0.500 0.500

Results
Calculated formation energy: -0.45 eV/atom
Mass density: 8.35 g/cm3
Space group: Pbam

# 2
Computed, not measured: Cr2AsRu after structural relaxation at the PBE level of DFT.

Cell lengths 6.690, 6.690, 5.371 Å; angles 51.48, 51.48, 90.00 degrees
Element x y z (fractional)
Cr: 0.120 0.625 0.250
Cr: 0.375 0.370 0.750
Cr: 0.630 0.125 0.250
Cr: 0.875 0.880 0.750
As: 0.500 0.500 0.000
As: 0.250 0.750 0.500
Ru: 0.750 0.250 0.500
Ru: 0.000 0.000 0.000

Results
Calculated formation energy: 0.54 eV/atom
Mass density: 8.17 g/cm3
Space group: I-42d

# 3
Computed, not measured: GeAsI2O after structural relaxation at the PBE level of DFT.

Cell lengths 5.865, 5.865, 3.810 Å; angles 90.00, 90.00, 90.00 degrees
Element x y z (fractional)
I: 0.000 0.500 0.000
I: 0.500 0.000 0.000
O: 0.000 0.000 0.500
As: 0.000 0.000 0.000
Ge: 0.500 0.500 0.500

Results
Mass density: 5.29 g/cm3
Energy relative to the elements, uncorrected: 3.5 kJ/mol of atoms
Space group: P4/mmm

# 4
Computed, not measured: RbIn2SnHg after structural relaxation at the PBE level of DFT.

Cell lengths 5.112, 8.178, 7.980 Å; angles 104.07, 90.00, 90.00 degrees
Element x y z (fractional)
In: 0.750 0.179 0.545
In: 0.250 0.066 0.160
In: 0.750 0.934 0.840
In: 0.250 0.821 0.455
Hg: 0.750 0.616 0.556
Hg: 0.250 0.384 0.444
Sn: 0.750 0.872 0.225
Sn: 0.250 0.128 0.775
Rb: 0.750 0.379 0.115
Rb: 0.250 0.621 0.885

Results
Calculated formation energy: -0.10 eV/atom
Mass density: 6.51 g/cm3
Space group: P2_1/m

# 5
Computed, not measured: LiMgCl2 after structural relaxation at the PBE level of DFT.

Cell lengths 7.623, 7.623, 7.623 Å; angles 27.24, 27.24, 27.24 degrees
Element x y z (fractional)
Li: 0.250 0.250 0.250
Cl: 0.985 0.985 0.985
Cl: 0.515 0.515 0.515
Mg: 0.750 0.750 0.750

Results
Mass density: 2.07 g/cm3
Energy relative to the elements, uncorrected: -118.3 kJ/mol of atoms
Space group: R-3m

# 6
Computed, not measured: TaAg3Ge after structural relaxation at the PBE level of DFT.

Cell lengths 4.748, 4.748, 4.748 Å; angles 90.00, 90.00, 90.00 degrees
Element x y z (fractional)
Ag: 0.500 0.000 0.000
Ag: 0.000 0.000 0.500
Ag: 0.000 0.500 0.000
Ge: 0.000 0.000 0.000
Ta: 0.500 0.500 0.500

Results
Calculated formation energy: 1.18 eV/atom
Mass density: 8.95 g/cm3
Space group: Pm-3m

# 7
Computed, not measured: PmThCoRu after structural relaxation at the PBE level of DFT.

Cell lengths 4.944, 4.944, 4.944 Å; angles 60.00, 60.00, 60.00 degrees
Element x y z (fractional)
Pm: 0.000 0.000 0.000
Th: 0.500 0.500 0.500
Ru: 0.750 0.750 0.750
Co: 0.250 0.250 0.250

Results
Calculated formation energy: -0.18 eV/atom
Mass density: 10.44 g/cm3
Space group: F-43m

# 8
Computed, not measured: TcRu2Pt after structural relaxation at the PBE level of DFT.

Cell lengths 2.728, 2.728, 7.784 Å; angles 90.00, 90.00, 90.00 degrees
Element x y z (fractional)
Tc: 0.500 0.500 0.250
Ru: 0.000 0.000 0.008
Ru: 0.000 0.000 0.492
Pt: 0.500 0.500 0.750

Results
Calculated formation energy: 0.00 eV/atom
Mass density: 14.19 g/cm3
Space group: P4/mmm

# 9
Computed, not measured: Zr2ScCo after structural relaxation at the PBE level of DFT.

Cell lengths 4.278, 3.295, 5.872 Å; angles 72.47, 90.00, 90.00 degrees
Element x y z (fractional)
Zr: 0.000 0.998 0.002
Zr: 0.500 0.331 0.278
Sc: 0.500 0.665 0.726
Co: 0.000 0.506 0.494

Results
Calculated formation energy: 0.02 eV/atom
Mass density: 6.02 g/cm3
Space group: Pm

# 10
Computed, not measured: ReAu after structural relaxation at the PBE level of DFT.

Cell lengths 6.112, 4.852, 4.852 Å; angles 143.87, 128.73, 61.77 degrees
Element x y z (fractional)
Re: 0.626 0.236 0.390
Re: 0.457 0.514 0.943
Au: 0.924 0.995 0.929
Au: 0.160 0.755 0.405

Results
Calculated formation energy: 0.49 eV/atom
Mass density: 19.28 g/cm3
Space group: C2/m

# 11
Computed, not measured: BaAl2Si after structural relaxation at the PBE level of DFT.

Cell lengths 5.766, 6.374, 3.063 Å; angles 77.18, 87.67, 116.26 degrees
Element x y z (fractional)
Si: 0.500 0.500 0.000
Al: 0.000 0.000 0.000
Al: 0.500 0.000 0.500
Ba: 0.000 0.500 0.500

Results
Mass density: 3.75 g/cm3
Energy relative to the elements, uncorrected: 36.8 kJ/mol of atoms
Space group: C2/m

# 12
Computed, not measured: PuTlAgRh after structural relaxation at the PBE level of DFT.

Cell lengths 4.922, 4.922, 4.922 Å; angles 60.00, 60.00, 60.00 degrees
Element x y z (fractional)
Ag: 0.250 0.250 0.250
Rh: 0.750 0.750 0.750
Pu: 0.500 0.500 0.500
Tl: 0.000 0.000 0.000

Results
Calculated formation energy: -0.02 eV/atom
Mass density: 12.98 g/cm3
Space group: F-43m

# 13
Computed, not measured: Nd2Sm2Ho after structural relaxation at the PBE level of DFT.

Cell lengths 5.811, 3.637, 16.541 Å; angles 96.31, 100.12, 90.00 degrees
Element x y z (fractional)
Nd: 0.456 0.706 0.913
Nd: 0.941 0.191 0.883
Nd: 0.544 0.294 0.087
Nd: 0.059 0.809 0.117
Sm: 0.632 0.882 0.264
Sm: 0.729 0.979 0.459
Sm: 0.271 0.021 0.541
Sm: 0.368 0.118 0.736
Ho: 0.173 0.423 0.346
Ho: 0.827 0.577 0.654

Results
Calculated formation energy: 0.14 eV/atom
Mass density: 7.32 g/cm3
Space group: Imma

# 14
Computed, not measured: TiCd2F after structural relaxation at the PBE level of DFT.

Cell lengths 7.696, 7.696, 6.028 Å; angles 50.33, 50.33, 90.00 degrees
Element x y z (fractional)
Cd: 0.375 0.429 0.750
Cd: 0.179 0.625 0.250
Cd: 0.571 0.125 0.250
Cd: 0.875 0.821 0.750
Ti: 0.000 0.000 0.000
Ti: 0.750 0.250 0.500
F: 0.250 0.750 0.500
F: 0.500 0.500 0.000

Results
Mass density: 6.31 g/cm3
Energy relative to the elements, uncorrected: -40.8 kJ/mol of atoms
Space group: I-42d

# 15
Computed, not measured: Mg6TlRh after structural relaxation at the PBE level of DFT.

Cell lengths 6.183, 6.321, 6.246 Å; angles 59.60, 76.37, 62.23 degrees
Element x y z (fractional)
Mg: 0.738 0.070 0.417
Mg: 0.733 0.733 0.000
Mg: 0.738 0.487 0.583
Mg: 0.262 0.930 0.583
Mg: 0.262 0.513 0.417
Mg: 0.267 0.267 0.000
Rh: 0.500 0.500 0.000
Tl: 0.000 0.000 0.000

Results
Calculated formation energy: 0.04 eV/atom
Mass density: 4.04 g/cm3
Space group: C2/m

# 16
Computed, not measured: Na3Ce3BiS8 after structural relaxation at the PBE level of DFT.

Cell lengths 8.245, 8.247, 8.191 Å; angles 120.25, 90.00, 119.99 degrees
Element x y z (fractional)
S: 0.758 0.017 0.274
S: 0.259 0.017 0.274
S: 0.256 0.512 0.269
S: 0.741 0.983 0.726
S: 0.242 0.983 0.726
S: 0.744 0.488 0.731
S: 0.757 0.514 0.275
S: 0.243 0.486 0.725
Na: 0.000 0.500 0.000
Na: 0.000 0.000 0.000
Na: 0.500 0.500 0.000
Ce: 0.500 0.000 0.500
Ce: 0.000 0.500 0.500
Ce: 0.500 0.500 0.500
Bi: 0.000 0.000 0.500

Results
Mass density: 4.04 g/cm3
Energy relative to the elements, uncorrected: -148.2 kJ/mol of atoms
Space group: C2/m

# 17
Computed, not measured: Ba3HoTh2Bi6 after structural relaxation at the PBE level of DFT.

Cell lengths 8.205, 8.205, 8.589 Å; angles 99.17, 99.17, 120.05 degrees
Element x y z (fractional)
Ba: 0.832 0.168 0.500
Ba: 0.500 0.500 0.500
Ba: 0.168 0.832 0.500
Th: 0.334 0.666 0.000
Th: 0.666 0.334 0.000
Bi: 0.928 0.598 0.784
Bi: 0.072 0.402 0.216
Bi: 0.402 0.072 0.216
Bi: 0.598 0.928 0.784
Bi: 0.257 0.257 0.782
Bi: 0.743 0.743 0.218
Ho: 0.000 0.000 0.000

Results
Calculated formation energy: -0.79 eV/atom
Mass density: 8.03 g/cm3
Space group: C2/m

# 18
Computed, not measured: U3Tl3GaSe8 after structural relaxation at the PBE level of DFT.

Cell lengths 8.437, 8.437, 9.062 Å; angles 117.75, 90.00, 120.00 degrees
Element x y z (fractional)
Se: 0.282 0.043 0.304
Se: 0.761 0.043 0.304
Se: 0.265 0.529 0.294
Se: 0.761 0.522 0.304
Se: 0.239 0.957 0.696
Se: 0.718 0.957 0.696
Se: 0.735 0.471 0.706
Se: 0.239 0.478 0.696
U: 0.500 0.500 0.500
U: 0.500 0.000 0.500
U: 0.000 0.500 0.500
Tl: 0.000 0.500 0.000
Tl: 0.500 0.500 0.000
Tl: 0.000 0.000 0.000
Ga: 0.000 0.000 0.500

Results
Mass density: 7.15 g/cm3
Energy relative to the elements, uncorrected: -80.2 kJ/mol of atoms
Space group: R-3m

# 19
Computed, not measured: TaAgPt2 after structural relaxation at the PBE level of DFT.

Cell lengths 9.616, 9.616, 9.616 Å; angles 17.06, 17.06, 17.06 degrees
Element x y z (fractional)
Ag: 0.251 0.251 0.251
Ta: 0.496 0.496 0.496
Pt: 0.752 0.752 0.752
Pt: 0.001 0.001 0.001

Results
Calculated formation energy: -0.14 eV/atom
Mass density: 16.88 g/cm3
Space group: R3m

# 20
Computed, not measured: Pr4C2I5 after structural relaxation at the PBE level of DFT.

Cell lengths 4.090, 8.906, 10.397 Å; angles 102.95, 101.34, 90.00 degrees
Element x y z (fractional)
Pr: 0.651 0.581 0.302
Pr: 0.349 0.419 0.698
Pr: 0.000 0.691 0.000
Pr: 0.000 0.309 0.000
I: 0.161 0.858 0.322
I: 0.167 0.313 0.334
I: 0.839 0.142 0.678
I: 0.500 0.000 0.000
I: 0.833 0.687 0.666
C: 0.535 0.518 0.070
C: 0.465 0.482 0.930

Results
Mass density: 5.61 g/cm3
Energy relative to the elements, uncorrected: -104.5 kJ/mol of atoms
Space group: C2/m

# 21
Computed, not measured: Mn2C after structural relaxation at the PBE level of DFT.

Cell lengths 5.624, 5.624, 2.936 Å; angles 90.00, 90.00, 120.00 degrees
Element x y z (fractional)
Mn: 0.000 0.252 0.000
Mn: 0.591 0.000 0.500
Mn: 0.748 0.748 0.000
Mn: 0.252 0.000 0.000
Mn: 0.000 0.591 0.500
Mn: 0.409 0.409 0.500
C: 0.000 0.000 0.500
C: 0.667 0.333 0.000
C: 0.333 0.667 0.000

Results
Calculated formation energy: 0.13 eV/atom
Mass density: 7.55 g/cm3
Space group: P-62m

# 22
Computed, not measured: Ca2ScRe after structural relaxation at the PBE level of DFT.

Cell lengths 3.030, 5.007, 6.182 Å; angles 90.00, 90.00, 90.00 degrees
Element x y z (fractional)
Sc: 0.500 0.500 0.750
Ca: 0.000 0.000 0.481
Ca: 0.000 0.000 0.019
Re: 0.500 0.500 0.250

Results
Calculated formation energy: 0.67 eV/atom
Mass density: 5.51 g/cm3
Space group: Pmmm

# 23
Computed, not measured: ReAs2SeBr after structural relaxation at the PBE level of DFT.

Cell lengths 4.909, 4.909, 4.816 Å; angles 90.00, 90.00, 90.00 degrees
Element x y z (fractional)
Se: 0.000 0.000 0.500
Br: 0.500 0.500 0.500
Re: 0.000 0.000 0.000
As: 0.000 0.500 0.000
As: 0.500 0.000 0.000

Results
Mass density: 7.08 g/cm3
Energy relative to the elements, uncorrected: 41.7 kJ/mol of atoms
Space group: P4/mmm

# 24
Computed, not measured: SrS after structural relaxation at the PBE level of DFT.

Cell lengths 4.204, 4.204, 21.992 Å; angles 90.00, 90.00, 120.00 degrees
Element x y z (fractional)
S: 0.000 0.000 0.417
S: 0.667 0.333 0.582
S: 0.333 0.667 0.915
S: 0.000 0.000 0.248
S: 0.333 0.667 0.084
S: 0.667 0.333 0.750
Sr: 0.667 0.333 0.998
Sr: 0.333 0.667 0.331
Sr: 0.333 0.667 0.500
Sr: 0.000 0.000 0.664
Sr: 0.667 0.333 0.167
Sr: 0.000 0.000 0.834

Results
Mass density: 3.54 g/cm3
Energy relative to the elements, uncorrected: -198.2 kJ/mol of atoms
Space group: R3m

# 25
Computed, not measured: SrInPb4 after structural relaxation at the PBE level of DFT.

Cell lengths 6.232, 6.232, 11.493 Å; angles 110.57, 110.57, 74.12 degrees
Element x y z (fractional)
Pb: 0.921 0.921 0.340
Pb: 0.421 0.421 0.340
Pb: 0.842 0.344 0.184
Pb: 0.344 0.842 0.184
Pb: 0.579 0.579 0.660
Pb: 0.158 0.656 0.816
Pb: 0.656 0.158 0.816
Pb: 0.079 0.079 0.660
Sr: 0.249 0.249 0.000
Sr: 0.751 0.751 0.000
In: 0.000 0.500 0.500
In: 0.500 0.000 0.500

Results
Calculated formation energy: -0.14 eV/atom
Mass density: 8.88 g/cm3
Space group: C2/m